one.
DFT (PBE) results for a relaxed structure of MgAg2Te2.

```
MgAg2Te2
1.0
-1.196 2.030 3.275
1.933 -2.650 2.349
6.753 4.030 2.454
Mg Ag Te
1 2 2
direct
0.000 0.000 0.000 Mg
0.250 0.750 0.500 Ag
0.750 0.250 0.500 Ag
0.390 0.390 0.220 Te
0.610 0.610 0.780 Te
```

magnetic moment	0.000	μB/cell
crystal system	tetragonal
space-group type	I4/mmm (139)

---

two.
DFT (PBE) results for a relaxed structure of MgAg2Te2.

```
MgAg2Te2
1.0
7.884 0.000 0.000
0.000 7.884 0.000
0.000 0.000 4.138
Ag Te Mg
4 4 2
direct
0.873 0.373 0.500 Ag
0.627 0.873 0.500 Ag
0.373 0.127 0.500 Ag
0.127 0.627 0.500 Ag
0.316 0.816 0.000 Te
0.184 0.316 0.000 Te
0.816 0.684 0.000 Te
0.684 0.184 0.000 Te
0.500 0.500 0.000 Mg
0.000 0.000 0.000 Mg
```

magnetic moment	0.000	μB/cell
crystal system	tetragonal
space-group type	P4/mbm (127)

---

one takes first place; second place is 12 meV per atom up.

---

one.
DFT (PBE) results for a relaxed structure of Th2MgAg.

```
Th2MgAg
1.0
-5.080 -1.204 1.226
-1.640 -5.105 -0.078
-1.123 -2.526 4.595
Th Ag Mg
2 1 1
direct
0.250 0.250 0.250 Th
0.750 0.750 0.750 Th
0.500 0.500 0.500 Ag
0.000 0.000 0.000 Mg
```

magnetic moment	0.000	μB/cell
crystal system	cubic
space-group type	Fm-3m (225)

---

two.
DFT (PBE) results for a relaxed structure of Th2MgAg.

```
Th2MgAg
1.0
-3.147 0.070 1.941
0.612 -3.471 1.118
3.972 2.742 6.342
Th Ag Mg
2 1 1
direct
0.000 0.000 0.757 Th
0.000 0.000 0.243 Th
0.500 0.500 0.000 Ag
0.500 0.500 0.500 Mg
```

magnetic moment	0.000	μB/cell
crystal system	tetragonal
space-group type	P4/mmm (123)

---

two takes first place; second place is 39 meV per atom up.

---

one.
DFT (PBE) results for a relaxed structure of Th2MgAg.

```
Th2MgAg
1.0
-0.138 -2.826 1.777
-0.048 -2.954 -1.560
11.888 -2.299 0.410
Th Ag Mg
2 1 1
direct
0.907 0.907 0.280 Th
0.093 0.093 0.720 Th
0.500 0.500 0.500 Ag
0.000 0.000 0.000 Mg
```

magnetic moment	0.000	μB/cell
crystal system	trigonal
space-group type	R-3m (166)

---

two.
DFT (PBE) results for a relaxed structure of Th2MgAg.

```
Th2MgAg
1.0
4.736 0.000 0.000
0.000 4.750 0.000
0.000 0.000 4.750
Th Mg Ag
2 1 1
direct
0.000 0.000 0.500 Th
0.000 0.500 0.000 Th
0.500 0.500 0.500 Mg
0.500 0.000 0.000 Ag
```

magnetic moment	0.001	μB/cell
crystal system	tetragonal
space-group type	P4/mmm (123)

---

two takes first place; second place is 231 meV per atom up.

---

one.
DFT (PBE) results for a relaxed structure of MgTiAg3.

```
MgTiAg3
1.0
5.031 0.000 0.000
0.000 5.031 0.000
0.000 0.000 5.031
Mg Ag Ti
1 3 1
direct
0.500 0.500 0.500 Mg
0.000 0.000 0.500 Ag
0.000 0.500 0.000 Ag
0.500 0.000 0.000 Ag
0.000 0.000 0.000 Ti
```

magnetic moment	1.310	μB/cell
crystal system	cubic
space-group type	Pm-3m (221)

---

two.
DFT (PBE) results for a relaxed structure of MgTiAg3.

```
MgTiAg3
1.0
-4.600 -0.489 -1.184
1.225 -0.396 -4.598
0.373 -4.733 0.507
Mg Ti Ag
1 1 3
direct
0.000 0.000 0.000 Mg
0.500 0.500 0.500 Ti
0.500 0.000 0.000 Ag
0.000 0.000 0.500 Ag
0.000 0.500 0.000 Ag
```

magnetic moment	0.032	μB/cell
crystal system	cubic
space-group type	Pm-3m (221)

---

two takes first place; second place is 55 meV per atom up.